# 1
LiZn2SiS4 (PBE, optimized geometry); formation energy without anion corrections = -5.27 eV/f.u.; DOS(E_F) = 3.9 states/eV per cell
1.0
-0.337 -2.951 4.628
1.160 -4.570 -2.832
4.905 4.555 -0.004
S Si Zn Li
4 1 2 1
Direct
0.135 0.135 0.752 S
0.617 0.617 0.752 S
0.382 0.866 0.248 S
0.866 0.382 0.248 S
0.500 0.500 0.000 Si
0.250 0.750 0.500 Zn
0.750 0.250 0.500 Zn
0.000 0.000 0.000 Li

# 2
Li2SmS2 (PBE, optimized geometry); formation energy without anion corrections = -7.28 eV/f.u.; DOS(E_F) = 1.9 states/eV per cell
1.0
-3.411 -1.069 1.597
-0.055 -2.525 2.991
-0.669 4.691 6.510
S Li Sm
2 2 1
Direct
0.590 0.590 0.230 S
0.410 0.410 0.770 S
0.225 0.225 0.325 Li
0.775 0.775 0.675 Li
0.000 0.000 0.000 Sm

# 3
LiSm4S6 (PBE, optimized geometry); formation energy without anion corrections = -21.08 eV/f.u.; DOS(E_F) = 10.0 states/eV per cell
1.0
7.760 -0.090 0.026
-0.025 7.761 0.026
0.091 0.090 7.760
Sm S Li
8 12 2
Direct
0.250 0.635 0.135 Sm
0.135 0.750 0.635 Sm
0.365 0.135 0.250 Sm
0.250 0.250 0.750 Sm
0.865 0.250 0.365 Sm
0.635 0.865 0.750 Sm
0.750 0.365 0.865 Sm
0.750 0.750 0.250 Sm
0.812 0.584 0.560 S
0.688 0.060 0.084 S
0.084 0.312 0.060 S
0.188 0.416 0.440 S
0.060 0.916 0.312 S
0.416 0.560 0.812 S
0.584 0.440 0.188 S
0.440 0.812 0.416 S
0.916 0.688 0.940 S
0.560 0.188 0.584 S
0.312 0.940 0.916 S
0.940 0.084 0.688 S
0.000 0.000 0.000 Li
0.500 0.500 0.500 Li

# 4
LiSm4S4 (PBE, optimized geometry); formation energy without anion corrections = -15.14 eV/f.u.; DOS(E_F) = 4.6 states/eV per cell
1.0
5.191 0.000 2.081
2.548 6.217 1.158
0.282 -0.114 6.811
S Li Sm
4 1 4
Direct
0.291 0.804 0.615 S
0.094 0.616 0.196 S
0.709 0.196 0.385 S
0.906 0.384 0.804 S
0.000 0.000 0.000 Li
0.400 0.400 0.800 Sm
0.600 0.600 0.200 Sm
0.801 0.799 0.599 Sm
0.199 0.201 0.401 Sm

Question: formation energy without anion corrections of number 2 (Li2SmS2)?
Answer: -7.28 eV/f.u.

Question: Which of these has the highest formation energy without anion corrections?
Answer: LiZn2SiS4